Entry from Alexandria via LeMat-Bulk: an optimized crystal structure of RbScIn3 (GGA-PBE).

a b c (Å): 5.9077 5.9077 5.9077
angles (deg): 90.00 90.00 90.00
Last column: nearest neighbours and their distance in Å.
Element x y z (fractional)
Rb: 0.0000 0.0000 0.0000  6 In 2.95
Sc: 0.5000 0.5000 0.5000  12 In 4.18
In: 0.0000 0.0000 0.5000  2 Rb 2.95
In: 0.0000 0.5000 0.0000  2 Rb 2.95
In: 0.5000 0.0000 0.0000  2 Rb 2.95

## Properties
For the total energy, the calculation gives -1.943 eV/atom. As for the energy of formation from the pure elements: 1160 meV/atom. As for the space-group type: Pm-3m (221).